The following is a DFT calculation (GGA+U) of a relaxed Li4Ti3V2Cu3O16 crystal.

a b c (Å): 5.9082 5.9082 9.7407
angles (deg): 89.05 89.05 60.00
Closest atoms and distances in Å follow each position.
Positions (direct):
V1 0.3612 0.3612 0.0138  3 O 1.73-1.79
O1 0.6616 0.6616 0.8904  1 Cu 1.95, 1 Li 1.96, 2 Ti 1.97
Cu1 0.6629 0.1734 0.2974  3 O 1.91-2.10
V2 0.6613 0.6613 0.5018  3 O 1.73-1.82
O2 0.0003 0.0003 0.2100  1 Li 1.89, 2 Cu 1.92, 1 Ti 1.94
O3 0.8272 0.3499 0.4136  1 V 1.82, 1 Li 2.01
O4 0.9631 0.4953 0.6524  1 Ti 1.82, 1 Li 1.99
O5 0.8177 0.8177 0.4311  1 V 1.73
Ti1 0.8457 0.3446 0.7778  5 O 1.82-2.02
O6 0.5170 0.5170 0.6654  1 Li 2.00, 2 Ti 2.02, 1 V 2.15
O7 0.4953 0.9631 0.6524  1 Ti 1.82, 1 Li 1.99
Li1 0.9969 0.9969 0.5068  4 O 1.85-2.01
Cu2 0.1734 0.6629 0.2974  3 O 1.91-2.10
O8 0.1600 0.1600 0.8952  2 Ti 1.99, 1 Li 2.06
Li2 0.9927 0.9927 0.0161  4 O 1.89-2.06
O9 0.4845 0.4845 0.1325  1 V 1.73
O10 0.6509 0.1811 0.9120  1 V 1.79
Cu3 0.8286 0.8286 0.7911  2 O 1.92-1.95
O11 0.4708 0.0364 0.1496  1 Ti 1.84, 1 Li 1.95
O12 0.3499 0.8272 0.4136  1 V 1.82, 1 Li 2.01
Li3 0.3358 0.3358 0.5928  4 O 1.99-2.00
Ti2 0.1815 0.1815 0.2636  4 O 1.84-1.96
O13 0.1811 0.6509 0.9120  1 V 1.79
Li4 0.6741 0.6741 0.0907  4 O 1.95-1.97
O14 0.3298 0.3298 0.3882  2 Cu 1.91, 1 Ti 1.96, 1 Li 1.99
O15 0.0364 0.4708 0.1496  1 Ti 1.84, 1 Li 1.95
Ti3 0.3446 0.8457 0.7778  5 O 1.82-2.02
O16 0.9949 0.9949 0.6970  1 Li 1.85, 1 Cu 1.92, 2 Ti 1.97

Results
- calculated volume (Å³ per cell) = 294.4
- magnetic moment (Bohr magnetons per cell) = 3.0
- total energy (eV per atom) = -6.90